No. 1
Below is a relaxed Ac3P4Rh7 crystal, with properties calculated at the PBE level.

a b c (Å): 4.0282 8.3895 8.3753
angles (deg): 75.83 76.09 76.11
With the nearest neighbours (Å) after each atom.
Element x y z (fractional)
Ac: 0.3188 0.1792 0.1832  10 Rh 3.04-3.28, 4 P 3.18-3.28
Ac: 0.6812 0.8208 0.8168  10 Rh 3.04-3.28, 4 P 3.18-3.28
Ac: 0.0000 0.5000 0.5000  6 P 3.16-3.19, 6 Rh 3.45-3.51
P: 0.6541 0.4944 0.1974  4 Rh 2.33-2.38
P: 0.3459 0.5056 0.8026  4 Rh 2.33-2.38
P: 0.8909 0.8854 0.3328  6 Rh 2.44-2.68
P: 0.1091 0.1146 0.6672  6 Rh 2.44-2.68
Rh: 0.3001 0.8836 0.5162  3 P 2.44-2.50
Rh: 0.4967 0.2248 0.7818  3 P 2.33-2.46
Rh: 0.8280 0.4115 0.9326  3 P 2.33-2.38
Rh: 0.6999 0.1164 0.4838  3 P 2.44-2.50
Rh: 0.1720 0.5885 0.0674  3 P 2.33-2.38
Rh: 0.0000 0.0000 0.0000  2 P 2.68
Rh: 0.5033 0.7752 0.2182  3 P 2.33-2.46

Output
The total energy comes out at -6.99 eV/atom. The calculation puts the energy of formation from the pure elements at -885 meV per atom. The density of states at the Fermi level is 9.7 states/eV per cell. The calculation puts the size of the total moment at 0.00 μB per atom.

=====

No. 2
Below is a relaxed AcPRh crystal, with properties calculated at the PBE level.

a b c (Å): 4.4284 5.8544 6.0572
angles (deg): 106.52 90.00 112.22
With the nearest neighbours (Å) after each atom.
Element x y z (fractional)
P: 0.9142 0.8285 0.8360  1 P 2.27, 2 Rh 2.37
P: 0.0858 0.1715 0.1640  1 P 2.27, 2 Rh 2.37
Rh: 0.4477 0.8954 0.7279  2 P 2.37
Rh: 0.5523 0.1046 0.2721  2 P 2.37
Ac: 0.8274 0.6547 0.2927  1 Rh 2.95, 3 P 3.13-3.18
Ac: 0.1726 0.3453 0.7073  1 Rh 2.95, 3 P 3.13-3.18

Output
The total energy comes out at -6.48 eV/atom. The calculation puts the energy of formation from the pure elements at -855 meV per atom. The density of states at the Fermi level is 2.6 states/eV per cell. The calculation puts the size of the total moment at 0.00 μB per atom.

=====

No. 3
Below is a relaxed AcPRh crystal, with properties calculated at the PBE level.

a b c (Å): 4.1845 5.9708 10.9501
angles (deg): 90.00 90.00 90.00
With the nearest neighbours (Å) after each atom.
Element x y z (fractional)
Ac: 0.7500 0.8639 0.6444  5 Rh 3.14-3.40, 3 P 3.18-3.32
Ac: 0.7500 0.3639 0.8556  5 Rh 3.14-3.40, 3 P 3.18-3.32
Ac: 0.2500 0.6361 0.1444  5 Rh 3.14-3.40, 3 P 3.18-3.32
Ac: 0.2500 0.1361 0.3556  5 Rh 3.14-3.40, 3 P 3.18-3.32
P: 0.7500 0.6541 0.3635  2 Rh 2.32
P: 0.7500 0.1541 0.1365  2 Rh 2.32
P: 0.2500 0.8459 0.8635  2 Rh 2.32
P: 0.2500 0.3459 0.6365  2 Rh 2.32
Rh: 0.2500 0.6302 0.4549  2 P 2.32
Rh: 0.7500 0.3698 0.5451  2 P 2.32
Rh: 0.7500 0.8698 0.9549  2 P 2.32
Rh: 0.2500 0.1302 0.0451  2 P 2.32

Output
The total energy comes out at -6.65 eV/atom. The calculation puts the energy of formation from the pure elements at -1031 meV per atom. The density of states at the Fermi level is 7.5 states/eV per cell. The calculation puts the size of the total moment at 0.00 μB per atom.

=====

No. 4
Below is a relaxed Ac2P2Rh3 crystal, with properties calculated at the PBE level.

a b c (Å): 3.9193 5.9081 7.1326
angles (deg): 111.59 90.00 109.37
With the nearest neighbours (Å) after each atom.
Element x y z (fractional)
Ac: 0.8756 0.7512 0.2260  4 P 3.10-3.17, 7 Rh 3.18-3.47
Ac: 0.1244 0.2488 0.7740  4 P 3.10-3.17, 7 Rh 3.18-3.47
P: 0.8436 0.6873 0.7644  3 Rh 2.34-2.56
P: 0.1564 0.3127 0.2356  3 Rh 2.34-2.56
Rh: 0.5000 0.0000 0.0000  4 P 2.72, 2 Rh 2.78
Rh: 0.6549 0.3098 0.4141  3 P 2.34-2.56
Rh: 0.3451 0.6902 0.5859  3 P 2.34-2.56

Output
The total energy comes out at -6.77 eV/atom. The calculation puts the energy of formation from the pure elements at -895 meV per atom. The density of states at the Fermi level is 3.7 states/eV per cell. The calculation puts the size of the total moment at 0.00 μB per atom.

=====

No. 5
Below is a relaxed Ac2PRh crystal, with properties calculated at the PBE level.

a b c (Å): 4.4244 4.2732 12.3879
angles (deg): 99.93 90.00 90.00
With the nearest neighbours (Å) after each atom.
Element x y z (fractional)
Ac: 0.7500 0.6829 0.3659  5 P 3.08-3.11
Ac: 0.2500 0.3171 0.6341  5 P 3.08-3.11
Ac: 0.7500 0.9361 0.8721  1 P 3.06, 6 Rh 3.12-3.35
Ac: 0.2500 0.0639 0.1279  1 P 3.06, 6 Rh 3.12-3.35
P: 0.2500 0.1895 0.3790  6 Ac 3.06-3.11
P: 0.7500 0.8105 0.6210  6 Ac 3.06-3.11
Rh: 0.2500 0.4584 0.9169  2 Rh 3.00, 6 Ac 3.12-3.35
Rh: 0.7500 0.5416 0.0831  2 Rh 3.00, 6 Ac 3.12-3.35

Output
The total energy comes out at -6.25 eV/atom. The calculation puts the energy of formation from the pure elements at -1006 meV per atom. The density of states at the Fermi level is 2.7 states/eV per cell. The calculation puts the size of the total moment at 0.00 μB per atom.

=====

No. 6
Below is a relaxed AcP2Rh4 crystal, with properties calculated at the PBE level.

a b c (Å): 4.0063 6.9072 17.2033
angles (deg): 90.00 90.00 90.00
With the nearest neighbours (Å) after each atom.
Element x y z (fractional)
Ac: 0.7500 0.0362 0.6077  8 Rh 3.16-3.47, 5 P 3.24-3.41
Ac: 0.2500 0.9638 0.3923  8 Rh 3.16-3.47, 5 P 3.24-3.41
Ac: 0.2500 0.5362 0.8923  8 Rh 3.16-3.47, 5 P 3.24-3.41
Ac: 0.7500 0.4638 0.1077  8 Rh 3.16-3.47, 5 P 3.24-3.41
P: 0.2500 0.6762 0.5531  6 Rh 2.40-2.52
P: 0.7500 0.3238 0.4469  6 Rh 2.40-2.52
P: 0.7500 0.1762 0.9469  6 Rh 2.40-2.52
P: 0.2500 0.8238 0.0531  6 Rh 2.40-2.52
P: 0.2500 0.0156 0.7553  3 Rh 2.24-2.32
P: 0.7500 0.9844 0.2447  3 Rh 2.24-2.32
P: 0.7500 0.5156 0.7447  3 Rh 2.24-2.32
P: 0.2500 0.4844 0.2553  3 Rh 2.24-2.32
Rh: 0.2500 0.3201 0.7007  3 P 2.30-2.53
Rh: 0.7500 0.6799 0.2993  3 P 2.30-2.53
Rh: 0.7500 0.8201 0.7993  3 P 2.30-2.53
Rh: 0.2500 0.1799 0.2007  3 P 2.30-2.53
Rh: 0.2500 0.7195 0.6914  2 P 2.32-2.40
Rh: 0.7500 0.2805 0.3086  2 P 2.32-2.40
Rh: 0.7500 0.2195 0.8086  2 P 2.32-2.40
Rh: 0.2500 0.7805 0.1914  2 P 2.32-2.40
Rh: 0.2500 0.3310 0.5296  3 P 2.42-2.46, 1 Rh 2.70
Rh: 0.7500 0.6690 0.4704  3 P 2.42-2.46, 1 Rh 2.70
Rh: 0.7500 0.8310 0.9704  3 P 2.42-2.46, 1 Rh 2.70
Rh: 0.2500 0.1690 0.0296  3 P 2.42-2.46, 1 Rh 2.70
Rh: 0.2500 0.4857 0.3856  1 P 2.24
Rh: 0.7500 0.5143 0.6144  1 P 2.24
Rh: 0.7500 0.9857 0.1144  1 P 2.24
Rh: 0.2500 0.0143 0.8856  1 P 2.24

Output
The total energy comes out at -7.20 eV/atom. The calculation puts the energy of formation from the pure elements at -866 meV per atom. The density of states at the Fermi level is 18.6 states/eV per cell. The calculation puts the size of the total moment at 0.00 μB per atom.

=====

No. 7
Below is a relaxed Ac2P2Rh3 crystal, with properties calculated at the PBE level.

a b c (Å): 4.3107 6.2325 6.0078
angles (deg): 86.80 110.95 89.99
With the nearest neighbours (Å) after each atom.
Element x y z (fractional)
Ac: 0.3371 0.2418 0.6733  7 Rh 3.06-3.35, 5 P 3.11-3.42
Ac: 0.6629 0.7582 0.3267  7 Rh 3.06-3.35, 5 P 3.11-3.42
P: 0.0689 0.1371 0.1384  3 Rh 2.35, 1 P 2.38
P: 0.9311 0.8629 0.8616  3 Rh 2.35, 1 P 2.38
Rh: 0.0000 0.5000 0.0000  2 P 2.35
Rh: 0.6074 0.2668 0.2160  2 P 2.35
Rh: 0.3926 0.7332 0.7840  2 P 2.35

Output
The total energy comes out at -6.81 eV/atom. The calculation puts the energy of formation from the pure elements at -936 meV per atom. The density of states at the Fermi level is 3.8 states/eV per cell. The calculation puts the size of the total moment at 0.00 μB per atom.

=====

No. 8
Below is a relaxed AcPRh crystal, with properties calculated at the PBE level.

a b c (Å): 4.3872 4.1999 4.1999
angles (deg): 120.00 90.00 90.00
With the nearest neighbours (Å) after each atom.
Element x y z (fractional)
P: 0.1669 0.0000 0.0000  3 Rh 2.42
Ac: 0.6667 0.6667 0.3333  6 Rh 3.27, 6 P 3.27
Rh: 0.1663 0.3333 0.6667  3 P 2.42

Output
The total energy comes out at -6.77 eV/atom. The calculation puts the energy of formation from the pure elements at -1150 meV per atom. The density of states at the Fermi level is 1.3 states/eV per cell. The calculation puts the size of the total moment at 0.00 μB per atom.

=====

No. 9
Below is a relaxed AcP2Rh crystal, with properties calculated at the PBE level.

a b c (Å): 4.0172 4.0172 7.5757
angles (deg): 74.62 74.62 60.00
With the nearest neighbours (Å) after each atom.
Element x y z (fractional)
P: 0.1368 0.1368 0.5897  3 Rh 2.41, 3 P 2.66
P: 0.8632 0.8632 0.4103  3 Rh 2.41, 3 P 2.66
Ac: 0.0000 0.0000 0.0000  2 P 2.96
Rh: 0.5000 0.5000 0.5000  6 P 2.41

Output
The total energy comes out at -5.84 eV/atom. The calculation puts the energy of formation from the pure elements at -275 meV per atom. The density of states at the Fermi level is 1.8 states/eV per cell. The calculation puts the size of the total moment at 0.00 μB per atom.

=====

No. 10
Below is a relaxed Ac3P3Rh2 crystal, with properties calculated at the PBE level.

a b c (Å): 4.3175 6.1614 14.9756
angles (deg): 90.00 90.00 110.51
With the nearest neighbours (Å) after each atom.
Element x y z (fractional)
Ac: 0.9170 0.8340 0.3985  5 P 3.16-3.24, 4 Rh 3.19-3.42
Ac: 0.0830 0.1660 0.8985  5 P 3.16-3.24, 4 Rh 3.19-3.42
Ac: 0.9170 0.8340 0.1015  5 P 3.16-3.24, 4 Rh 3.19-3.42
Ac: 0.0830 0.1660 0.6015  5 P 3.16-3.24, 4 Rh 3.19-3.42
Ac: 0.6368 0.2736 0.2500  4 P 3.09-3.15, 4 Rh 3.27
Ac: 0.3632 0.7264 0.7500  4 P 3.09-3.15, 4 Rh 3.27
P: 0.6488 0.2976 0.4562  3 Rh 2.42-2.64
P: 0.3512 0.7024 0.9562  3 Rh 2.42-2.64
P: 0.6488 0.2976 0.0438  3 Rh 2.42-2.64
P: 0.3512 0.7024 0.5438  3 Rh 2.42-2.64
P: 0.3358 0.6716 0.2500  2 Rh 2.69
P: 0.6642 0.3284 0.7500  2 Rh 2.69
Rh: 0.7867 0.5734 0.9031  4 P 2.42-2.69
Rh: 0.2133 0.4266 0.4031  4 P 2.42-2.69
Rh: 0.7867 0.5734 0.5969  4 P 2.42-2.69
Rh: 0.2133 0.4266 0.0969  4 P 2.42-2.69

Output
The total energy comes out at -6.43 eV/atom. The calculation puts the energy of formation from the pure elements at -1027 meV per atom. The density of states at the Fermi level is 11.7 states/eV per cell. The calculation puts the size of the total moment at 0.00 μB per atom.

=====

No. 11
Below is a relaxed Ac2PRh crystal, with properties calculated at the PBE level.

a b c (Å): 5.2967 5.2967 5.2967
angles (deg): 60.00 60.00 60.00
With the nearest neighbours (Å) after each atom.
Element x y z (fractional)
P: 0.0000 0.0000 0.0000  8 Ac 3.24
Ac: 0.2500 0.2500 0.2500  4 Rh 3.24, 4 P 3.24
Ac: 0.7500 0.7500 0.7500  4 Rh 3.24, 4 P 3.24
Rh: 0.5000 0.5000 0.5000  8 Ac 3.24

Output
The total energy comes out at -5.99 eV/atom. The calculation puts the energy of formation from the pure elements at -745 meV per atom. The density of states at the Fermi level is 0.9 states/eV per cell. The calculation puts the size of the total moment at 0.00 μB per atom.

=====

No. 12
Below is a relaxed Ac2PRuRh crystal, with properties calculated at the PBE level.

a b c (Å): 4.1531 4.1531 14.5885
angles (deg): 90.00 90.00 90.00
With the nearest neighbours (Å) after each atom.
Element x y z (fractional)
Ac: 0.0000 0.5000 0.6784  1 Rh 3.03, 4 P 3.26, 4 Ru 3.33
Ac: 0.0000 0.5000 0.0997  5 Rh 2.94-3.12
Ac: 0.5000 0.0000 0.9003  5 Rh 2.94-3.12
Ac: 0.5000 0.0000 0.3216  1 Rh 3.03, 4 P 3.26, 4 Ru 3.33
P: 0.5000 0.0000 0.5817  4 Ru 2.39
P: 0.0000 0.5000 0.4183  4 Ru 2.39
Ru: 0.0000 0.0000 0.5000  4 P 2.39
Ru: 0.5000 0.5000 0.5000  4 P 2.39
Rh: 0.5000 0.0000 0.1140  6 Ac 2.94-3.12
Rh: 0.0000 0.5000 0.8860  6 Ac 2.94-3.12

Output
The total energy comes out at -6.86 eV/atom. The calculation puts the energy of formation from the pure elements at -807 meV per atom. The density of states at the Fermi level is 7.0 states/eV per cell. The calculation puts the size of the total moment at 0.00 μB per atom.